--- A ---
Compound: RbMgIO2
Source: Alexandria via LeMat-Bulk
Functional: PBE-GGA
Structure: relaxed

Cell: 4.530 4.530 6.670 Å, 90.00 90.00 90.00°
Atoms (fractional coordinates):
Rb 0.000 0.000 0.000
Mg 0.500 0.500 0.500
I 0.000 0.000 0.500
O 0.000 0.500 0.000
O 0.500 0.000 0.000

---

--- B ---
Compound: RbMgIO2
Source: Alexandria via LeMat-Bulk
Functional: PBE-GGA
Structure: relaxed

Cell: 4.476 4.476 6.526 Å, 90.00 90.00 90.00°
Atoms (fractional coordinates):
Rb 0.000 0.000 0.000
Mg 0.500 0.500 0.000
I 0.000 0.000 0.500
O 0.000 0.500 0.500
O 0.500 0.000 0.500

---

Stability, descending: B, A